[1]
A relaxed structure of BaINO2, computed with PBE-GGA.

POSCAR file:
```
BaINO2
1.0
-1.887 2.769 3.185
1.120 -3.035 3.302
3.689 1.922 0.515
Ba O N I
1 2 1 1
Cartesian
1.461 0.828 3.501
-0.943 1.384 1.593
0.560 -1.518 1.651
0.000 0.000 0.000
1.845 0.961 0.257
```

Output
Final energy = -4.1118 eV/atom
Symmetry = P4/mmm (123)

=====

[2]
A relaxed structure of Li2PuZn9, computed with PBE-GGA.

POSCAR file:
```
Li2PuZn9
1.0
2.721 0.000 0.000
0.000 8.973 0.000
0.000 -4.487 7.771
Zn Li Pu
9 2 1
Cartesian
1.360 6.538 1.406
1.360 2.051 6.365
1.360 4.487 4.959
1.360 -2.051 6.365
0.000 -2.243 3.886
0.000 4.487 0.000
1.360 2.435 1.406
1.360 0.000 2.812
0.000 2.243 3.886
0.000 4.487 2.590
0.000 0.000 5.181
0.000 0.000 0.000
```

Output
Formation enthalpy at 0 K = -0.090 eV/atom
Final energy = -2.5589 eV/atom
ΔE to the lowest computed polymorph = 47 meV/atom
Symmetry = P6/mmm (191)

=====

[3]
A relaxed structure of YCoCu, computed with PBE-GGA.

POSCAR file:
```
YCoCu
1.0
-2.708 2.485 0.786
-2.237 -2.763 1.024
3.749 1.947 6.760
Co Y Cu
2 2 2
Cartesian
0.402 2.387 7.315
-1.598 -0.718 1.256
-1.456 1.987 2.179
0.261 -0.318 6.392
-0.474 2.198 4.894
-0.722 -0.529 3.676
```

Output
Formation enthalpy at 0 K = -0.106 eV/atom
Final energy = -5.9948 eV/atom
Symmetry = Cmcm (63)

=====

[4]
A relaxed structure of YPRh, computed with PBE-GGA.

POSCAR file:
```
YPRh
1.0
3.786 0.000 0.000
-1.893 3.278 0.000
0.000 0.000 10.336
P Rh Y
2 2 2
Cartesian
1.893 1.093 3.459
0.000 2.186 6.878
0.000 2.186 4.284
1.893 1.093 6.052
1.893 1.093 8.847
0.000 2.186 1.489
```

Output
Formation enthalpy at 0 K = -0.649 eV/atom
Final energy = -7.0578 eV/atom
Symmetry = P-3m1 (164)

=====

Number 1: magnetization 0.0 μB/cell. Number 2: magnetization 5.4 μB/cell. Number 3: magnetization 1.3 μB/cell. Number 4: magnetization 0.0 μB/cell.